! GGA-PBE Cd2Sn2O5, relaxed; values from VASP
&SYSTEM
  ibrav = 0, nat = 9, ntyp = 3
/
ATOMIC_SPECIES
Sn 118.71 Sn.upf
Cd 112.41 Cd.upf
O 16.00 O.upf
CELL_PARAMETERS angstrom
-4.103 4.930 -2.585
-3.211 -2.687 -0.028
-1.024 1.184 3.883
ATOMIC_POSITIONS angstrom
Sn -5.352 3.135 -0.110
Cd -2.051 2.465 -1.292
O -4.814 2.512 -2.036
O -1.406 1.666 1.378
Cd 0.000 0.000 0.000
Sn -2.986 0.292 1.380
O -3.721 4.448 -0.080
O -2.499 -0.269 -0.577
O -4.169 1.714 0.635
! Calculated volume: 121.2 Å³/cell
! Distance to the lowest polymorph of the same formula: 0.000 eV/atom
! Crystal system: tetragonal

---

! GGA-PBE TbYHo, relaxed; values from VASP
&SYSTEM
  ibrav = 0, nat = 3, ntyp = 3
/
ATOMIC_SPECIES
Tb 158.93 Tb.upf
Y 88.91 Y.upf
Ho 164.93 Ho.upf
CELL_PARAMETERS angstrom
0.000 3.827 3.827
3.827 0.000 3.827
3.827 3.827 0.000
ATOMIC_POSITIONS angstrom
Tb 5.741 5.741 5.741
Y 1.914 1.914 1.914
Ho 0.000 0.000 0.000
! Calculated volume: 112.1 Å³/cell
! Distance to the lowest polymorph of the same formula: 0.000 eV/atom
! Crystal system: cubic
! Total moment: 0.0 μB/cell
! Energy of formation from the pure elements: 726.6 meV per atom